Be4Hg: relaxed, PBEsol.

Output
Symmetry   Im-3m, No. 229
VASP energy   -2.3725 eV/atom
DFT formation energy   4.7 eV per formula unit

```
5
Lattice="4.5860 0.0000 0.0000 -1.5287 4.3237 0.0000 -1.5287 -2.1619 3.7445" Properties=species:S:1:pos:R:3 pbc="T T T"
Be -0.7643 -1.0809 1.8722
Be -0.7643 2.1619 0.0000
Be 2.2930 0.0000 0.0000
Be 0.7643 1.0809 1.8722
Hg 0.0000 0.0000 0.0000
```